--- A ---
This record from Alexandria via LeMat-Bulk describes crystalline LiGa2Pd at its relaxed geometry. The functional is PBE.

a = 4.9341 Å, b = 4.9341 Å, c = 4.9341 Å
α = 51.47°, β = 51.47°, γ = 51.47°
Closest atoms and distances in Å follow each position.
Atoms (fractional coordinates):
Li: 0.0000 0.0000 0.0000  1 Pd 2.56, 4 Ga 2.74-2.75
Ga: 0.5730 0.5730 0.5730  3 Pd 2.53, 1 Ga 2.73, 3 Li 2.75
Ga: 0.7861 0.7861 0.7861  3 Pd 2.68, 4 Ga 2.73-2.91, 4 Li 2.74-2.91
Pd: 0.2001 0.2001 0.2001  6 Ga 2.53-2.68, 1 Li 2.56

Values from the calculation:
- M_tot (μB/f.u.) = 0.00
- symmetry = R3m
- calculated volume (Å³/cell) = 68

--- B ---
This record from Alexandria via LeMat-Bulk describes crystalline LiGa2Pd at its relaxed geometry. The functional is PBE.

a = 4.3713 Å, b = 4.3713 Å, c = 4.3713 Å
α = 60.00°, β = 60.00°, γ = 60.00°
Closest atoms and distances in Å follow each position.
Atoms (fractional coordinates):
Li: 0.0000 0.0000 0.0000  8 Ga 2.68
Ga: 0.2500 0.2500 0.2500  4 Li 2.68, 4 Pd 2.68
Ga: 0.7500 0.7500 0.7500  4 Pd 2.68, 4 Li 2.68
Pd: 0.5000 0.5000 0.5000  8 Ga 2.68

Values from the calculation:
- M_tot (μB/f.u.) = 0.00
- symmetry = Fm-3m
- calculated volume (Å³/cell) = 59

So which one is most stable? That would be B, about 65 meV/atom below the next structure.

--- A ---
This record from Alexandria via LeMat-Bulk describes crystalline Li2Ga5Pd at its relaxed geometry. The functional is PBE.

a = 4.5598 Å, b = 12.7378 Å, c = 4.9900 Å
α = 90.00°, β = 112.69°, γ = 90.00°
Closest atoms and distances in Å follow each position.
Atoms (fractional coordinates):
Li: 0.2192 0.1364 0.4495  6 Ga 2.65-2.88, 2 Pd 2.68-2.75, 1 Li 2.89
Li: 0.2192 0.3636 0.4495  6 Ga 2.65-2.88, 2 Pd 2.68-2.75, 1 Li 2.89
Li: 0.7808 0.6364 0.5505  6 Ga 2.65-2.88, 2 Pd 2.68-2.75, 1 Li 2.89
Li: 0.7808 0.8636 0.5505  6 Ga 2.65-2.88, 2 Pd 2.68-2.75, 1 Li 2.89
Ga: 0.0803 0.5874 0.1600  1 Pd 2.57, 3 Ga 2.67-2.82, 1 Li 2.85
Ga: 0.0803 0.9126 0.1600  1 Pd 2.57, 3 Ga 2.67-2.82, 1 Li 2.85
Ga: 0.3697 0.5591 0.7569  3 Li 2.65-2.87, 5 Ga 2.71-2.92, 1 Pd 2.73
Ga: 0.3697 0.9409 0.7569  3 Li 2.65-2.87, 5 Ga 2.71-2.92, 1 Pd 2.73
Ga: 0.4849 0.2500 0.9419  2 Pd 2.63-2.79, 2 Li 2.70, 2 Ga 2.80
Ga: 0.5151 0.7500 0.0581  2 Pd 2.63-2.79, 2 Li 2.70, 2 Ga 2.80
Ga: 0.6303 0.0591 0.2431  3 Li 2.65-2.87, 5 Ga 2.71-2.92, 1 Pd 2.73
Ga: 0.6303 0.4409 0.2431  3 Li 2.65-2.87, 5 Ga 2.71-2.92, 1 Pd 2.73
Ga: 0.9197 0.0874 0.8400  1 Pd 2.57, 3 Ga 2.67-2.82, 1 Li 2.85
Ga: 0.9197 0.4126 0.8400  1 Pd 2.57, 3 Ga 2.67-2.82, 1 Li 2.85
Pd: 0.2624 0.7500 0.4867  6 Ga 2.57-2.79, 4 Li 2.68-2.75
Pd: 0.7376 0.2500 0.5133  6 Ga 2.57-2.79, 4 Li 2.68-2.75

Values from the calculation:
- M_tot (μB/f.u.) = 0.00
- symmetry = P2_1/m
- calculated volume (Å³/cell) = 267

--- B ---
This record from Alexandria via LeMat-Bulk describes crystalline Li2Ga5Pd at its relaxed geometry. The functional is PBE.

a = 5.4982 Å, b = 5.4982 Å, c = 5.3939 Å
α = 110.35°, β = 110.35°, γ = 105.61°
Closest atoms and distances in Å follow each position.
Atoms (fractional coordinates):
Li: 0.2326 0.7674 0.0000  9 Ga 2.71-2.94, 1 Pd 2.94
Li: 0.7674 0.2326 0.0000  9 Ga 2.71-2.94, 1 Pd 2.94
Ga: 0.1837 0.1837 0.4755  1 Pd 2.57, 7 Ga 2.77-2.80
Ga: 0.2786 0.7158 0.5014  4 Ga 2.70-2.80, 4 Li 2.71-2.84, 2 Pd 2.76-2.83
Ga: 0.3059 0.3059 0.0639  5 Ga 2.72-3.01, 4 Li 2.76-2.79, 2 Pd 2.84-2.85
Ga: 0.6885 0.6885 0.9326  5 Ga 2.70-3.01, 4 Li 2.78, 2 Pd 2.78-2.81
Ga: 0.7158 0.2786 0.5014  4 Ga 2.70-2.80, 4 Li 2.71-2.84, 2 Pd 2.76-2.83
Pd: 0.8214 0.8214 0.5238  9 Ga 2.57-2.85

Values from the calculation:
- M_tot (μB/f.u.) = 0.00
- symmetry = Cm
- calculated volume (Å³/cell) = 128

So which one is most stable? That would be B, about 18 meV/atom below the next structure.

--- A ---
This record from Alexandria via LeMat-Bulk describes crystalline Li3Ga6Pd at its relaxed geometry. The functional is PBE.

a = 7.1754 Å, b = 7.1754 Å, c = 7.1754 Å
α = 78.08°, β = 78.08°, γ = 78.08°
Closest atoms and distances in Å follow each position.
Atoms (fractional coordinates):
Li: 0.1995 0.6077 0.2154  4 Ga 2.57-2.76
Li: 0.2154 0.1995 0.6077  4 Ga 2.57-2.76
Li: 0.3923 0.7846 0.8005  4 Ga 2.57-2.76
Li: 0.6077 0.2154 0.1995  4 Ga 2.57-2.76
Li: 0.7846 0.8005 0.3923  4 Ga 2.57-2.76
Li: 0.8005 0.3923 0.7846  4 Ga 2.57-2.76
Ga: 0.0149 0.9107 0.6700  5 Ga 2.54-2.84, 1 Pd 2.55, 1 Li 2.67
Ga: 0.0893 0.3300 0.9851  5 Ga 2.54-2.84, 1 Pd 2.55, 1 Li 2.67
Ga: 0.1176 0.5638 0.6131  2 Ga 2.54-2.84, 3 Li 2.57-2.76, 1 Pd 2.67
Ga: 0.3300 0.9851 0.0893  5 Ga 2.54-2.84, 1 Pd 2.55, 1 Li 2.67
Ga: 0.3869 0.8824 0.4362  2 Ga 2.54-2.84, 3 Li 2.57-2.76, 1 Pd 2.67
Ga: 0.4362 0.3869 0.8824  2 Ga 2.54-2.84, 3 Li 2.57-2.76, 1 Pd 2.67
Ga: 0.5638 0.6131 0.1176  2 Ga 2.54-2.84, 3 Li 2.57-2.76, 1 Pd 2.67
Ga: 0.6131 0.1176 0.5638  2 Ga 2.54-2.84, 3 Li 2.57-2.76, 1 Pd 2.67
Ga: 0.6700 0.0149 0.9107  5 Ga 2.54-2.84, 1 Pd 2.55, 1 Li 2.67
Ga: 0.8824 0.4362 0.3869  2 Ga 2.54-2.84, 3 Li 2.57-2.76, 1 Pd 2.67
Ga: 0.9107 0.6700 0.0149  5 Ga 2.54-2.84, 1 Pd 2.55, 1 Li 2.67
Ga: 0.9851 0.0893 0.3300  5 Ga 2.54-2.84, 1 Pd 2.55, 1 Li 2.67
Pd: 0.0000 0.0000 0.0000  6 Ga 2.55
Pd: 0.5000 0.5000 0.5000  6 Ga 2.67

Values from the calculation:
- M_tot (μB/f.u.) = 0.00
- symmetry = R-3
- calculated volume (Å³/cell) = 348

--- B ---
This record from Alexandria via LeMat-Bulk describes crystalline Li3Ga6Pd at its relaxed geometry. The functional is PBE.

a = 7.4921 Å, b = 4.4984 Å, c = 10.0535 Å
α = 90.00°, β = 109.89°, γ = 90.00°
Closest atoms and distances in Å follow each position.
Atoms (fractional coordinates):
Li: 0.0882 0.2500 0.2259  8 Ga 2.73-2.90, 3 Li 2.87-3.01, 1 Pd 2.90
Li: 0.3021 0.2500 0.0210  11 Ga 2.73-3.05, 1 Li 3.01
Li: 0.3089 0.7500 0.3695  9 Ga 2.73-2.90, 2 Li 2.87, 1 Pd 2.90
Li: 0.6911 0.2500 0.6305  9 Ga 2.73-2.90, 2 Li 2.87, 1 Pd 2.90
Li: 0.6979 0.7500 0.9790  11 Ga 2.73-3.05, 1 Li 3.01
Li: 0.9118 0.7500 0.7741  8 Ga 2.73-2.90, 3 Li 2.87-3.01, 1 Pd 2.90
Ga: 0.0807 0.2500 0.7149  3 Pd 2.72-2.76, 4 Li 2.74-2.96, 4 Ga 2.82-2.87
Ga: 0.0847 0.7500 0.0708  7 Li 2.73-2.92, 4 Ga 2.73-2.83
Ga: 0.2817 0.2500 0.5231  3 Pd 2.71-2.78, 4 Li 2.78-2.88, 4 Ga 2.82-2.84
Ga: 0.3070 0.7500 0.8531  1 Pd 2.69, 4 Li 2.77-2.82, 6 Ga 2.79-2.95
Ga: 0.4772 0.7500 0.1644  4 Li 2.75-2.88, 7 Ga 2.77-3.04
Ga: 0.5000 0.2500 0.3405  1 Pd 2.73, 5 Li 2.73-3.05, 6 Ga 2.79-2.84
Ga: 0.5000 0.7500 0.6595  1 Pd 2.73, 5 Li 2.73-3.05, 6 Ga 2.79-2.84
Ga: 0.5228 0.2500 0.8356  4 Li 2.75-2.88, 7 Ga 2.77-3.04
Ga: 0.6930 0.2500 0.1469  1 Pd 2.69, 4 Li 2.77-2.82, 6 Ga 2.79-2.95
Ga: 0.7183 0.7500 0.4769  3 Pd 2.71-2.78, 4 Li 2.78-2.88, 4 Ga 2.82-2.84
Ga: 0.9153 0.2500 0.9292  7 Li 2.73-2.92, 4 Ga 2.73-2.83
Ga: 0.9193 0.7500 0.2851  3 Pd 2.72-2.76, 4 Li 2.74-2.96, 4 Ga 2.82-2.87
Pd: 0.1132 0.7500 0.5731  8 Ga 2.69-2.78, 2 Li 2.90, 2 Pd 2.90
Pd: 0.8868 0.2500 0.4269  8 Ga 2.69-2.78, 2 Li 2.90, 2 Pd 2.90

Values from the calculation:
- M_tot (μB/f.u.) = 0.00
- symmetry = P2_1/m
- calculated volume (Å³/cell) = 319

So which one is most stable? That would be B, about 48 meV/atom below the next structure.